TaH2CSe after structural relaxation, computed with GGA-PBE.

Final energy ... -5.83 eV per atom
Density of states at the Fermi level ... 0.3234 states/eV/atom
Excess energy over the best structure of this formula in the dataset ... 0 meV per atom
M_tot ... 0.000 μB/atom
Symmetry ... P4/mmm (123)

Unit cell a=3.215 b=5.591 c=3.215 alpha=90.00 beta=90.00 gamma=90.00
Element x y z (fractional)
H  0.000  0.000  0.500
H  0.500  0.000  0.000
Se  0.000  0.000  0.000
Ta  0.000  0.500  0.000
C  0.500  0.500  0.500